Computed, not measured: a crystal of YFe2Se relaxed with PBEsol at the SCAN level of DFT.

The structure belongs to space group I4/mmm (No. 139); the cell edges are 3.808, 3.808 and 9.142 Å and the angles 90.00°, 90.00° and 90.00°. The inequivalent atoms are Y at (0.000, 0.000, 0.000), Fe at (0.000, 0.500, 0.250) and Se at (0.000, 0.000, 0.500).

The value obtained for the magnetization is 4.8 μB/f.u. As for the formation energy (no corrections): -0.08 eV per atom.


Computed, not measured: a crystal of BaFeP2 relaxed with PBEsol at the SCAN level of DFT.

The structure belongs to space group P4/mmm (No. 123); the cell edges are 4.497, 4.497 and 4.140 Å and the angles 90.00°, 90.00° and 90.00°. The inequivalent atoms are Ba at (0.000, 0.000, 0.000), Fe at (0.500, 0.500, 0.000) and P at (0.000, 0.500, 0.500).

The value obtained for the magnetization is 3.6 μB/f.u. Its energy above the most stable polymorph in this dataset is 869 meV/atom. For the formation energy, the calculation gives 371 meV per atom.


Among the records above, which one has the lowest magnetization? BaFeP2